[1]
BaTeW2 after structural relaxation, computed with PBE.

abc: 10.187 3.539 6.062
angles: 90.00 101.13 90.00
Space group C2/m (No. 12)
Inequivalent atoms, fractional coordinates:
Ba 0.000 0.000 0.000
Te 0.000 0.500 0.500
W 0.235 0.000 0.635

## Properties
E_form (uncorrected) ... 739 meV per atom

=====

[2]
Ba2N2F after structural relaxation, computed with PBE.

abc: 14.473 4.385 7.076
angles: 90.00 105.66 90.00
Space group C2/c (No. 15)
Inequivalent atoms, fractional coordinates:
Ba 0.134 0.193 0.124
N 0.224 0.360 0.519
F 0.000 0.164 0.750

## Properties
E_form (uncorrected) ... -1483 meV per atom

=====

[3]
CoTeOs2 after structural relaxation, computed with PBE.

abc: 2.873 4.923 9.305
angles: 90.00 90.00 90.00
Space group Cmm2 (No. 35)
Inequivalent atoms, fractional coordinates:
Co 0.000 0.000 0.000
Te 0.000 0.500 0.747
Os 0.000 0.000 0.454
Os 0.000 0.500 0.222

## Properties
E_form (uncorrected) ... 995 meV per atom

=====

[4]
Mg2BF2 after structural relaxation, computed with PBE.

abc: 6.819 6.819 3.683
angles: 90.00 90.00 90.00
Space group P4/mbm (No. 127)
Inequivalent atoms, fractional coordinates:
Mg 0.206 0.294 0.000
B 0.000 0.000 0.000
F 0.147 0.353 0.500

## Properties
E_form (uncorrected) ... -1117 meV per atom
Energy above the lowest structure with this stoichiometry ... 124 kJ/mol of formula units

=====

[5]
Tb5Pm6Mg2 after structural relaxation, computed with PBE.

abc: 10.516 22.859 3.549
angles: 90.00 90.00 90.00
Space group Pbam (No. 55)
Inequivalent atoms, fractional coordinates:
Tb 0.000 0.000 0.000
Tb 0.081 0.251 0.000
Tb 0.166 0.506 0.000
Pm 0.018 0.387 0.500
Pm 0.146 0.118 0.500
Pm 0.169 0.866 0.000
Mg 0.169 0.739 0.500

## Properties
Formation energy ... 128 meV/atom

=====

[6]
InRhSe2 after structural relaxation, computed with PBE.

abc: 4.905 3.732 5.444
angles: 90.00 115.54 90.00
Space group P2/m (No. 10)
Inequivalent atoms, fractional coordinates:
In 0.000 0.000 0.000
Rh 0.000 0.000 0.500
Se 0.371 0.500 0.658

## Properties
E_form (uncorrected) ... -329 meV per atom

=====

[7]
SrYSc2 after structural relaxation, computed with PBE.

abc: 3.5477 3.5477 34.7191
angles: 90.00 90.00 120.00
Space group R3m (No. 160, hexagonal axes)
Inequivalent atoms, fractional coordinates:
Sr 0.0000 0.0000 0.0000
Y 0.0000 0.0000 0.2375
Sc 0.0000 0.0000 0.4941
Sc 0.0000 0.0000 0.7562

## Properties
Formation energy ... 229 meV/atom
Energy above the lowest structure with this stoichiometry ... 30 kJ/mol of formula units

=====

[8]
LuMgRh after structural relaxation, computed with PBE.

abc: 3.296 3.296 11.189
angles: 90.00 90.00 90.00
Space group I4mm (No. 107)
Inequivalent atoms, fractional coordinates:
Lu 0.000 0.000 0.000
Mg 0.000 0.000 0.723
Rh 0.000 0.000 0.360

## Properties
Formation energy ... -578 meV/atom

=====

[9]
Mg3ScCd after structural relaxation, computed with PBE.

abc: 5.382 5.382 21.660
angles: 90.00 90.00 90.00
Space group I-4m2 (No. 119)
Inequivalent atoms, fractional coordinates:
Mg 0.000 0.000 0.171
Mg 0.000 0.250 0.375
Sc 0.000 0.000 0.500
Sc 0.000 0.500 0.250
Cd 0.000 0.500 0.570

## Properties
Formation energy ... 438 meV/atom
Energy above the lowest structure with this stoichiometry ... 230 kJ/mol of formula units

=====

[10]
Ti4IrAu after structural relaxation, computed with PBE.

abc: 4.325 4.325 6.202
angles: 90.00 90.00 90.00
Space group P4/mmm (No. 123)
Inequivalent atoms, fractional coordinates:
Ti 0.000 0.500 0.236
Ir 0.000 0.000 0.000
Au 0.500 0.500 0.500

## Properties
Formation energy ... -192 meV/atom

=====

[11]
Sc2Al3Rh after structural relaxation, computed with PBE.

abc: 5.3254 5.3254 12.6923
angles: 90.00 90.00 120.00
Space group R-3m (No. 166, hexagonal axes)
Inequivalent atoms, fractional coordinates:
Sc 0.0000 0.0000 0.1263
Al 0.0000 0.5000 0.0000
Rh 0.0000 0.0000 0.5000

## Properties
Formation energy ... -738 meV/atom

=====

[12]
NpGe3Rh2 after structural relaxation, computed with PBE.

abc: 16.391 4.086 9.830
angles: 90.00 102.96 90.00
Space group C2/m (No. 12)
Inequivalent atoms, fractional coordinates:
Np 0.000 0.000 0.000
Np 0.149 0.000 0.690
Ge 0.000 0.500 0.500
Ge 0.047 0.000 0.355
Ge 0.145 0.500 0.915
Ge 0.148 0.500 0.178
Ge 0.227 0.000 0.368
Rh 0.000 0.500 0.214
Rh 0.145 0.500 0.438
Rh 0.204 0.000 0.074

## Properties
Formation energy ... -384 meV/atom

=====

Number 1: uncorrected energy -7.00 eV per atom, total moment 0.00 Bohr magnetons per cell, volume 214.4 Å³/cell. Number 2: uncorrected energy -5.96 eV per atom, total moment 0.00 Bohr magnetons per cell, volume 432.4 Å³/cell. Number 3: uncorrected energy -7.18 eV per atom, total moment 3.97 Bohr magnetons per cell, volume 131.6 Å³/cell. Number 4: uncorrected energy -3.84 eV per atom, total moment 2.00 Bohr magnetons per cell, volume 171.2 Å³/cell. Number 5: uncorrected energy -4.09 eV per atom, total moment 0.00 Bohr magnetons per cell, volume 853.1 Å³/cell. Number 6: uncorrected energy -4.59 eV per atom, total moment 0.00 Bohr magnetons per cell, volume 89.9 Å³/cell. Number 7: uncorrected energy -4.97 eV per atom, total moment 0.05 Bohr magnetons per cell, volume 378.4 Å³/cell. Number 8: uncorrected energy -5.07 eV per atom, total moment 0.00 Bohr magnetons per cell, volume 121.6 Å³/cell. Number 9: uncorrected energy -1.97 eV per atom, total moment 0.00 Bohr magnetons per cell, volume 627.3 Å³/cell. Number 10: uncorrected energy -7.48 eV per atom, total moment 0.00 Bohr magnetons per cell, volume 116.0 Å³/cell. Number 11: uncorrected energy -5.95 eV per atom, total moment 0.00 Bohr magnetons per cell, volume 311.6 Å³/cell. Number 12: uncorrected energy -7.30 eV per atom, total moment 22.97 Bohr magnetons per cell, volume 641.6 Å³/cell.